# 1
# Zr2Ti4Co, optimized geometry, DFT PBE
data_Zr2Ti4Co
_chemical_formula_sum 'Zr2 Ti4 Co1'
_symmetry_space_group_name_H-M 'P 1'
_symmetry_Int_Tables_number 1
_cell_length_a 7.9470
_cell_length_b 7.9470
_cell_length_c 7.9470
_cell_angle_alpha 147.84
_cell_angle_beta 147.84
_cell_angle_gamma 46.12
loop_
_symmetry_equiv_pos_as_xyz
'x,y,z'
loop_
_atom_site_label
_atom_site_type_symbol
_atom_site_fract_x
_atom_site_fract_y
_atom_site_fract_z
_atom_site_occupancy
Zr1 Zr 0.1404 0.1404 0.0000 1
Zr2 Zr 0.8596 0.8596 0.0000 1
Ti1 Ti 0.0000 0.5000 0.5000 1
Ti2 Ti 0.3383 0.3383 0.0000 1
Ti3 Ti 0.5000 0.0000 0.5000 1
Ti4 Ti 0.6617 0.6617 0.0000 1
Co1 Co 0.5000 0.5000 0.0000 1
# Density of states at the Fermi level = 9.90 states/eV/cell
# E = -7.531 eV per atom
# Crystal system = tetragonal
# Energy relative to the elements = 0.44 eV per atom
# Space group = I4/mmm (139)
# Magnetic moment = 0.18 μB/atom

# 2
# Ba6NaHgRh, optimized geometry, DFT PBE
data_Ba6NaHgRh
_chemical_formula_sum 'Ba6 Na1 Hg1 Rh1'
_symmetry_space_group_name_H-M 'P 1'
_symmetry_Int_Tables_number 1
_cell_length_a 8.4702
_cell_length_b 8.4702
_cell_length_c 7.9834
_cell_angle_alpha 90.00
_cell_angle_beta 90.00
_cell_angle_gamma 120.00
loop_
_symmetry_equiv_pos_as_xyz
'x,y,z'
loop_
_atom_site_label
_atom_site_type_symbol
_atom_site_fract_x
_atom_site_fract_y
_atom_site_fract_z
_atom_site_occupancy
Ba1 Ba 0.0452 0.3611 0.2252 1
Ba2 Ba 0.0452 0.6841 0.7748 1
Ba3 Ba 0.3159 0.3611 0.7748 1
Ba4 Ba 0.3159 0.9548 0.2252 1
Ba5 Ba 0.6389 0.6841 0.2252 1
Ba6 Ba 0.6389 0.9548 0.7748 1
Na1 Na 0.6667 0.3333 0.5000 1
Hg1 Hg 0.0000 0.0000 0.0000 1
Rh1 Rh 0.3333 0.6667 0.0000 1
# Density of states at the Fermi level = 6.84 states/eV/cell
# E = -2.426 eV per atom
# Crystal system = trigonal
# Energy relative to the elements = -0.15 eV per atom
# Space group = P312 (149)
# Magnetic moment = 0.00 μB/atom

# 3
# CoAu2Br, optimized geometry, DFT PBE
data_CoAu2Br
_chemical_formula_sum 'Co1 Au2 Br1'
_symmetry_space_group_name_H-M 'P 1'
_symmetry_Int_Tables_number 1
_cell_length_a 3.2433
_cell_length_b 3.2433
_cell_length_c 7.1198
_cell_angle_alpha 90.00
_cell_angle_beta 90.00
_cell_angle_gamma 90.00
loop_
_symmetry_equiv_pos_as_xyz
'x,y,z'
loop_
_atom_site_label
_atom_site_type_symbol
_atom_site_fract_x
_atom_site_fract_y
_atom_site_fract_z
_atom_site_occupancy
Co1 Co 0.0000 0.0000 0.0000 1
Au1 Au 0.5000 0.5000 0.2029 1
Au2 Au 0.5000 0.5000 0.7971 1
Br1 Br 0.0000 0.0000 0.5000 1
# Density of states at the Fermi level = 4.25 states/eV/cell
# E = -3.420 eV per atom
# Energy relative to the lowest polymorph listed for this composition = 0.1823 eV per atom
# Crystal system = tetragonal
# Formation energy without anion corrections = 0.413 eV/atom
# Space group = P4/mmm (123)
# Magnetic moment = 0.48 μB/atom

# 4
# BeVBi2, optimized geometry, DFT PBE
data_BeVBi2
_chemical_formula_sum 'Be1 V1 Bi2'
_symmetry_space_group_name_H-M 'P 1'
_symmetry_Int_Tables_number 1
_cell_length_a 4.9853
_cell_length_b 4.9853
_cell_length_c 4.9853
_cell_angle_alpha 60.00
_cell_angle_beta 60.00
_cell_angle_gamma 60.00
loop_
_symmetry_equiv_pos_as_xyz
'x,y,z'
loop_
_atom_site_label
_atom_site_type_symbol
_atom_site_fract_x
_atom_site_fract_y
_atom_site_fract_z
_atom_site_occupancy
Be1 Be 0.0000 0.0000 0.0000 1
V1 V 0.5000 0.5000 0.5000 1
Bi1 Bi 0.2500 0.2500 0.2500 1
Bi2 Bi 0.7500 0.7500 0.7500 1
# Density of states at the Fermi level = 2.93 states/eV/cell
# E = -4.461 eV per atom
# Energy relative to the lowest polymorph listed for this composition = 0.0460 eV per atom
# Crystal system = cubic
# Energy relative to the elements = 0.69 eV per atom
# Space group = Fm-3m (225)
# Magnetic moment = 0.88 μB/atom